1.
# InTeSe4 (PBE, optimized geometry)
data_InTeSe4
_cell_length_a 7.563
_cell_length_b 7.875
_cell_length_c 11.324
_cell_angle_alpha 90.00
_cell_angle_beta 90.00
_cell_angle_gamma 90.00
_space_group_name_H-M_alt 'I m m a'
_space_group_IT_number 74
_space_group_name_Hall '-I 2b 2'
loop_
_atom_site_label
_atom_site_type_symbol
_atom_site_fract_x
_atom_site_fract_y
_atom_site_fract_z
_atom_site_occupancy
In1 In 0.000 0.000 0.000 1
Te1 Te 0.250 0.250 0.250 1
Se1 Se 0.000 0.010 0.748 1
Se2 Se 0.244 0.250 0.496 1
# Formation energy (no corrections) = -0.119 eV per atom

***

2.
# ThScAgPt (PBE, optimized geometry)
data_ThScAgPt
_cell_length_a 7.103
_cell_length_b 7.103
_cell_length_c 7.103
_cell_angle_alpha 90.00
_cell_angle_beta 90.00
_cell_angle_gamma 90.00
_space_group_name_H-M_alt 'F -4 3 m'
_space_group_IT_number 216
_space_group_name_Hall 'F -4 2 3'
loop_
_atom_site_label
_atom_site_type_symbol
_atom_site_fract_x
_atom_site_fract_y
_atom_site_fract_z
_atom_site_occupancy
Th1 Th 0.000 0.000 0.000 1
Sc1 Sc 0.000 0.000 0.500 1
Ag1 Ag 0.250 0.250 0.250 1
Pt1 Pt 0.250 0.250 0.750 1
# Formation energy = -2.35 eV per formula unit

***

3.
# SrCa2Cu2 (PBE, optimized geometry)
data_SrCa2Cu2
_cell_length_a 5.303
_cell_length_b 5.303
_cell_length_c 11.226
_cell_angle_alpha 90.00
_cell_angle_beta 90.00
_cell_angle_gamma 90.00
_space_group_name_H-M_alt 'I 4/m m m'
_space_group_IT_number 139
_space_group_name_Hall '-I 4 2'
loop_
_atom_site_label
_atom_site_type_symbol
_atom_site_fract_x
_atom_site_fract_y
_atom_site_fract_z
_atom_site_occupancy
Sr1 Sr 0.000 0.000 0.000 1
Ca1 Ca 0.000 0.000 0.341 1
Cu1 Cu 0.000 0.500 0.250 1
# Formation energy = 0.62 eV per formula unit

***

4.
# Sm2TmPa (PBE, optimized geometry)
data_Sm2TmPa
_cell_length_a 3.430
_cell_length_b 3.430
_cell_length_c 10.286
_cell_angle_alpha 90.00
_cell_angle_beta 90.00
_cell_angle_gamma 90.00
_space_group_name_H-M_alt 'P 4/m m m'
_space_group_IT_number 123
_space_group_name_Hall '-P 4 2'
loop_
_atom_site_label
_atom_site_type_symbol
_atom_site_fract_x
_atom_site_fract_y
_atom_site_fract_z
_atom_site_occupancy
Sm1 Sm 0.000 0.000 0.235 1
Tm1 Tm 0.500 0.500 0.500 1
Pa1 Pa 0.500 0.500 0.000 1
# Formation energy = 0.63 eV per formula unit

***

- Number 2 is which compound?
  ThScAgPt

***

- What is the formula in the third record?
  SrCa2Cu2